1.
HoPdPb2 | PBE | relaxed

Values from the calculation:
V (A^3/atom): 24.1
DOS(E_F) (states/eV per cell): 3.329
Magnetic moment (μB/f.u.): 0.00
Uncorrected energy (eV per cell): -18.7
Crystal system: tetragonal

abc: 4.4842 4.6367 4.6367
angles: 90.00 90.00 90.00
Sites, in units of the cell vectors:
Ho 0.5000 0.5000 0.5000
Pd 0.5000 0.0000 0.0000
Pb 0.0000 0.5000 0.0000
Pb 0.0000 0.0000 0.5000

2.
Ho2Pd6Pb | PBE | relaxed

Values from the calculation:
V (A^3/atom): 19.9
DOS(E_F) (states/eV per cell): 4.035
Magnetic moment (μB/f.u.): 0.00
Uncorrected energy (eV per cell): -48.8
Crystal system: monoclinic

abc: 3.3401 7.5012 8.0645
angles: 117.71 89.83 90.00
Sites, in units of the cell vectors:
Ho 0.4992 0.3090 0.6179
Pd 0.0005 0.3572 0.3200
Pd 0.5000 0.6863 0.0000
Pd 0.9995 0.6428 0.6800
Ho 0.5008 0.6910 0.3821
Pd 0.9995 0.0371 0.6800
Pd 0.0005 0.9629 0.3200
Pd 0.5000 0.3137 0.0000
Pb 0.0000 0.0000 0.0000

3.
Ho2Pd2Pb | PBE | relaxed

Values from the calculation:
V (A^3/atom): 22.5
DOS(E_F) (states/eV per cell): 4.590
Magnetic moment (μB/f.u.): 0.00
Uncorrected energy (eV per cell): -55.0
Crystal system: tetragonal

abc: 7.8551 7.8551 3.6434
angles: 90.00 90.00 90.00
Sites, in units of the cell vectors:
Pb 0.5000 0.5000 0.0000
Pb 0.0000 0.0000 0.0000
Ho 0.6708 0.1708 0.5000
Pd 0.3743 0.1257 0.0000
Pd 0.6257 0.8743 0.0000
Ho 0.1708 0.3292 0.5000
Ho 0.3292 0.8292 0.5000
Pd 0.8743 0.3743 0.0000
Ho 0.8292 0.6708 0.5000
Pd 0.1257 0.6257 0.0000

4.
HoPd6Pb | PBE | relaxed

Values from the calculation:
V (A^3/atom): 20.5
DOS(E_F) (states/eV per cell): 4.765
Energy relative to the lowest polymorph listed for this composition (eV per atom): 0.465
Magnetic moment (μB/f.u.): 0.00
Uncorrected energy (eV per cell): -40.5
Crystal system: trigonal

abc: 5.4954 5.4954 5.4954
angles: 84.89 84.89 84.89
Sites, in units of the cell vectors:
Pd 0.8396 0.8396 0.4665
Pd 0.1604 0.5335 0.1604
Pd 0.4665 0.8396 0.8396
Pd 0.1604 0.1604 0.5335
Ho 0.0000 0.0000 0.0000
Pd 0.5335 0.1604 0.1604
Pd 0.8396 0.4665 0.8396
Pb 0.5000 0.5000 0.5000

5.
Ho2Pd7Pb2 | PBE | relaxed

Values from the calculation:
V (A^3/atom): 19.7
DOS(E_F) (states/eV per cell): 6.402
Magnetic moment (μB/f.u.): 0.00
Uncorrected energy (eV per cell): -58.8
Crystal system: monoclinic

abc: 7.0465 5.0993 7.0465
angles: 112.02 93.76 67.98
Sites, in units of the cell vectors:
Pd 0.9276 0.8242 0.5900
Pd 0.5974 0.6335 0.4026
Pd 0.4026 0.3665 0.5974
Pd 0.5900 0.1758 0.9276
Ho 0.7737 0.5000 0.7737
Pd 0.0000 0.0000 0.0000
Pd 0.4100 0.8242 0.0724
Pb 0.7244 0.0047 0.2756
Pb 0.2756 0.9953 0.7244
Pd 0.0724 0.1758 0.4100
Ho 0.2263 0.5000 0.2263

6.
HoPd8Pb2 | PBE | relaxed

Values from the calculation:
V (A^3/atom): 18.6
DOS(E_F) (states/eV per cell): 4.712
Magnetic moment (μB/f.u.): 0.00
Uncorrected energy (eV per cell): -57.1
Crystal system: monoclinic

abc: 4.9335 7.4980 7.4980
angles: 119.53 105.40 105.40
Sites, in units of the cell vectors:
Ho 0.5000 0.0000 0.0000
Pd 0.6868 0.4197 0.4197
Pd 0.3132 0.5803 0.5803
Pd 0.5000 0.7854 0.2146
Pd 0.1373 0.0961 0.3220
Pd 0.1373 0.3220 0.0961
Pd 0.5000 0.2146 0.7854
Pd 0.8627 0.6780 0.9039
Pd 0.8627 0.9039 0.6780
Pb 0.0000 0.6909 0.3091
Pb 0.0000 0.3091 0.6909

7.
HoPd14Pb | PBE | relaxed

Values from the calculation:
V (A^3/atom): 16.4
DOS(E_F) (states/eV per cell): 26.955
Magnetic moment (μB/f.u.): 0.00
Uncorrected energy (eV per cell): -85.2
Crystal system: tetragonal

abc: 5.7486 5.7486 7.9283
angles: 90.00 90.00 90.00
Sites, in units of the cell vectors:
Pd 0.3750 0.8750 0.5000
Pd 0.3750 0.8750 0.0000
Pd 0.6246 0.6246 0.2428
Pd 0.6246 0.6246 0.7572
Pd 0.8750 0.3750 0.0000
Pd 0.1254 0.1254 0.2428
Pd 0.8750 0.8750 0.0000
Ho 0.3750 0.3750 0.5000
Pb 0.8750 0.8750 0.5000
Pd 0.8750 0.3750 0.5000
Pd 0.6246 0.1254 0.2428
Pd 0.3750 0.3750 0.0000
Pd 0.1254 0.6246 0.2428
Pd 0.1254 0.6246 0.7572
Pd 0.1254 0.1254 0.7572
Pd 0.6246 0.1254 0.7572

8.
Ho4Pd7Pb | PBE | relaxed

Values from the calculation:
V (A^3/atom): 21.4
DOS(E_F) (states/eV per cell): 5.689
Magnetic moment (μB/f.u.): 0.00
Uncorrected energy (eV per cell): -66.4
Crystal system: monoclinic

abc: 5.2170 9.4072 6.0302
angles: 82.01 64.37 73.90
Sites, in units of the cell vectors:
Pb 0.0000 0.0000 0.0000
Ho 0.2118 0.3651 0.2112
Pd 0.9266 0.3184 0.8283
Ho 0.5919 0.2172 0.5990
Pd 0.0734 0.6816 0.1717
Ho 0.4081 0.7828 0.4010
Pd 0.5000 0.0000 0.0000
Pd 0.7860 0.9065 0.5216
Pd 0.2140 0.0935 0.4784
Pd 0.6340 0.4762 0.2558
Ho 0.7882 0.6349 0.7888
Pd 0.3660 0.5238 0.7442

9.
Ho3Pd12Pb | PBE | relaxed

Values from the calculation:
V (A^3/atom): 17.4
DOS(E_F) (states/eV per cell): 8.530
Magnetic moment (μB/f.u.): 0.00
Uncorrected energy (eV per cell): -91.6
Crystal system: tetragonal

abc: 4.1132 4.1132 16.4462
angles: 90.00 90.00 90.00
Sites, in units of the cell vectors:
Pd 0.0000 0.5000 0.1247
Pd 0.5000 0.0000 0.6251
Pd 0.0000 0.5000 0.8753
Ho 0.0000 0.0000 0.5000
Pd 0.5000 0.0000 0.3749
Pd 0.5000 0.0000 0.1247
Pd 0.5000 0.0000 0.8753
Pd 0.5000 0.5000 0.0000
Pd 0.0000 0.5000 0.6251
Ho 0.0000 0.0000 0.2510
Ho 0.0000 0.0000 0.7490
Pd 0.5000 0.5000 0.7516
Pd 0.0000 0.5000 0.3749
Pb 0.0000 0.0000 0.0000
Pd 0.5000 0.5000 0.2484
Pd 0.5000 0.5000 0.5000

10.
Ho2Pd9Pb | PBE | relaxed

Values from the calculation:
V (A^3/atom): 17.4
DOS(E_F) (states/eV per cell): 5.158
Magnetic moment (μB/f.u.): 0.00
Uncorrected energy (eV per cell): -67.9
Crystal system: tetragonal

abc: 4.1174 4.1174 12.3122
angles: 90.00 90.00 90.00
Sites, in units of the cell vectors:
Pb 0.0000 0.0000 0.0000
Pd 0.5000 0.0000 0.8336
Pd 0.0000 0.5000 0.8336
Pd 0.0000 0.5000 0.1664
Pd 0.0000 0.5000 0.5000
Pd 0.5000 0.5000 0.6680
Ho 0.0000 0.0000 0.3339
Pd 0.5000 0.0000 0.5000
Pd 0.5000 0.5000 0.3320
Pd 0.5000 0.0000 0.1664
Pd 0.5000 0.5000 0.0000
Ho 0.0000 0.0000 0.6661

11.
Ho7Pd2Pb2 | PBE | relaxed

Values from the calculation:
V (A^3/atom): 29.7
DOS(E_F) (states/eV per cell): 10.060
Magnetic moment (μB/f.u.): 0.00
Uncorrected energy (eV per cell): -53.8
Crystal system: orthorhombic

abc: 6.9113 7.1095 6.9113
angles: 90.00 106.14 90.00
Sites, in units of the cell vectors:
Pd 0.2851 0.0000 0.7149
Ho 0.5002 0.7637 0.4998
Ho 0.5003 0.7507 0.9998
Ho 0.0002 0.7507 0.4997
Ho 0.9998 0.2493 0.5003
Pb 0.1865 0.5000 0.1865
Pb 0.8135 0.5000 0.8135
Ho 0.0000 0.0000 0.0000
Ho 0.4998 0.2363 0.5002
Ho 0.4997 0.2493 0.0002
Pd 0.7149 0.0000 0.2851

12.
Ho4Pd15Pb | PBE | relaxed

Values from the calculation:
V (A^3/atom): 17.4
DOS(E_F) (states/eV per cell): 9.062
Magnetic moment (μB/f.u.): 0.00
Uncorrected energy (eV per cell): -115.4
Crystal system: tetragonal

abc: 4.1152 4.1152 20.5347
angles: 90.00 90.00 90.00
Sites, in units of the cell vectors:
Pd 0.0000 0.5000 0.3000
Ho 0.0000 0.0000 0.4003
Pd 0.5000 0.0000 0.3000
Pd 0.5000 0.5000 0.8010
Pd 0.5000 0.0000 0.9003
Ho 0.0000 0.0000 0.2011
Pd 0.5000 0.0000 0.0997
Pd 0.5000 0.0000 0.7000
Pd 0.5000 0.5000 0.3994
Pd 0.0000 0.5000 0.0997
Ho 0.0000 0.0000 0.5997
Pd 0.5000 0.5000 0.0000
Pd 0.0000 0.5000 0.9003
Pd 0.0000 0.5000 0.7000
Pb 0.0000 0.0000 0.0000
Pd 0.5000 0.0000 0.5000
Ho 0.0000 0.0000 0.7989
Pd 0.0000 0.5000 0.5000
Pd 0.5000 0.5000 0.1990
Pd 0.5000 0.5000 0.6006